# 1
The following is a PBE-GGA calculation of a relaxed structure of ZrAlP2, from Alexandria.

Formation energy ... -0.55 eV/atom
Fermi-level density of states ... 1.94 states/eV/f.u.
Calculated volume ... 66.4 Å³ per cell

Cell lengths 3.4340, 3.4340, 5.6308 Å; angles 90.00, 90.00, 90.00 degrees
Last column: nearest neighbours and their distance in Å.
Atoms (fractional coordinates):
Zr (0.0000, 0.0000, 0.0000)  8 P 2.78, 2 Al 2.82
Al (0.0000, 0.0000, 0.5000)  2 Zr 2.82, 8 P 2.84
P (0.5000, 0.5000, 0.2392)  2 P 2.69-2.94, 4 Zr 2.78, 4 Al 2.84
P (0.5000, 0.5000, 0.7608)  2 P 2.69-2.94, 4 Zr 2.78, 4 Al 2.84

***

# 2
The following is a PBE-GGA calculation of a relaxed structure of ZrAlP2, from Alexandria.

Formation energy ... 0.18 eV/atom
Fermi-level density of states ... 3.02 states/eV/f.u.
Calculated volume ... 148.7 Å³ per cell

Cell lengths 4.5580, 4.5580, 8.2670 Å; angles 90.00, 90.00, 120.00 degrees
Last column: nearest neighbours and their distance in Å.
Atoms (fractional coordinates):
Zr (0.3333, 0.6667, 0.2500)  3 Al 2.63, 2 P 2.79
Zr (0.6667, 0.3333, 0.7500)  3 Al 2.63, 2 P 2.79
Al (0.0000, 0.0000, 0.2500)  3 Zr 2.63
Al (0.0000, 0.0000, 0.7500)  3 Zr 2.63
P (0.3333, 0.6667, 0.5870)  4 P 2.70-3.00, 4 Zr 2.79-2.96, 3 Al 2.96
P (0.3333, 0.6667, 0.9130)  4 P 2.70-3.00, 4 Zr 2.79-2.96, 3 Al 2.96
P (0.6667, 0.3333, 0.0870)  4 P 2.70-3.00, 4 Zr 2.79-2.96, 3 Al 2.96
P (0.6667, 0.3333, 0.4130)  4 P 2.70-3.00, 4 Zr 2.79-2.96, 3 Al 2.96

***

# 3
The following is a PBE-GGA calculation of a relaxed structure of Zr5Al3P, from Alexandria.

Formation energy ... -0.64 eV/atom
Fermi-level density of states ... 7.91 states/eV/f.u.
Calculated volume ... 358.9 Å³ per cell

Cell lengths 8.3866, 8.3866, 5.8917 Å; angles 90.00, 90.00, 120.00 degrees
Last column: nearest neighbours and their distance in Å.
Atoms (fractional coordinates):
Zr (0.0000, 0.2533, 0.2500)  2 P 2.59
Zr (0.0000, 0.7467, 0.7500)  2 P 2.59
Zr (0.2533, 0.0000, 0.2500)  2 P 2.59
Zr (0.2533, 0.2533, 0.7500)  2 P 2.59
Zr (0.3333, 0.6667, 0.0000)  2 Zr 2.95, 6 Al 2.97
Zr (0.3333, 0.6667, 0.5000)  2 Zr 2.95, 6 Al 2.97
Zr (0.6667, 0.3333, 0.0000)  2 Zr 2.95, 6 Al 2.97
Zr (0.6667, 0.3333, 0.5000)  2 Zr 2.95, 6 Al 2.97
Zr (0.7467, 0.0000, 0.7500)  2 P 2.59
Zr (0.7467, 0.7467, 0.2500)  2 P 2.59
Al (0.0000, 0.3954, 0.7500)  9 Zr 2.91-3.18
Al (0.0000, 0.6046, 0.2500)  9 Zr 2.91-3.18
Al (0.3954, 0.0000, 0.7500)  9 Zr 2.91-3.18
Al (0.3954, 0.3954, 0.2500)  9 Zr 2.91-3.18
Al (0.6046, 0.0000, 0.2500)  9 Zr 2.91-3.18
Al (0.6046, 0.6046, 0.7500)  9 Zr 2.91-3.18
P (0.0000, 0.0000, 0.0000)  6 Zr 2.59
P (0.0000, 0.0000, 0.5000)  6 Zr 2.59

***

# 4
The following is a PBE-GGA calculation of a relaxed structure of ZrAlP, from Alexandria.

Formation energy ... -0.21 eV/atom
Fermi-level density of states ... 4.65 states/eV/f.u.
Calculated volume ... 232.8 Å³ per cell

Cell lengths 6.1518, 6.1518, 6.1518 Å; angles 90.00, 90.00, 90.00 degrees
Last column: nearest neighbours and their distance in Å.
Atoms (fractional coordinates):
Zr (0.0000, 0.0000, 0.0000)  4 P 2.66
Zr (0.0000, 0.5000, 0.5000)  4 P 2.66
Zr (0.5000, 0.0000, 0.5000)  4 P 2.66
Zr (0.5000, 0.5000, 0.0000)  4 P 2.66
Al (0.0000, 0.0000, 0.5000)  4 P 2.66
Al (0.0000, 0.5000, 0.0000)  4 P 2.66
Al (0.5000, 0.0000, 0.0000)  4 P 2.66
Al (0.5000, 0.5000, 0.5000)  4 P 2.66
P (0.2500, 0.2500, 0.2500)  4 Zr 2.66, 4 Al 2.66
P (0.2500, 0.7500, 0.7500)  4 Al 2.66, 4 Zr 2.66
P (0.7500, 0.2500, 0.7500)  4 Al 2.66, 4 Zr 2.66
P (0.7500, 0.7500, 0.2500)  4 Al 2.66, 4 Zr 2.66

***

# 5
The following is a PBE-GGA calculation of a relaxed structure of ZrAlP2, from Alexandria.

Formation energy ... -0.82 eV/atom
Fermi-level density of states ... 0.70 states/eV/f.u.
Calculated volume ... 141.5 Å³ per cell

Cell lengths 3.7238, 3.5254, 10.7806 Å; angles 90.00, 90.00, 90.00 degrees
Last column: nearest neighbours and their distance in Å.
Atoms (fractional coordinates):
Zr (0.0000, 0.0000, 0.0000)  6 P 2.66-2.74
Zr (0.0000, 0.5000, 0.5000)  6 P 2.66-2.74
Al (0.5000, 0.0000, 0.2194)  5 P 2.33-2.58
Al (0.5000, 0.5000, 0.7194)  5 P 2.33-2.58
P (0.0000, 0.0000, 0.6945)  4 Al 2.58, 2 Zr 2.74
P (0.0000, 0.5000, 0.1945)  4 Al 2.58, 2 Zr 2.74
P (0.5000, 0.0000, 0.4357)  1 Al 2.33
P (0.5000, 0.5000, 0.9357)  1 Al 2.33

***

# 6
The following is a PBE-GGA calculation of a relaxed structure of ZrAlP2, from Alexandria.

Formation energy ... -0.58 eV/atom
Fermi-level density of states ... 1.50 states/eV/f.u.
Calculated volume ... 66.9 Å³ per cell

Cell lengths 3.4179, 3.4026, 5.8515 Å; angles 90.00, 100.47, 90.00 degrees
Last column: nearest neighbours and their distance in Å.
Atoms (fractional coordinates):
Zr (0.0000, 0.0000, 0.0000)  8 P 2.75-2.79, 2 Al 2.93
Al (0.0000, 0.0000, 0.5000)  4 P 2.58
P (0.4370, 0.5000, 0.7638)  2 Al 2.58, 1 P 2.72, 4 Zr 2.75-2.79
P (0.5629, 0.5000, 0.2362)  2 Al 2.58, 1 P 2.72, 4 Zr 2.75-2.79

***

# 7
The following is a PBE-GGA calculation of a relaxed structure of Pa5Al, from Alexandria.

Formation energy ... -0.01 eV/atom
Energy relative to the lowest polymorph listed for this composition ... 56 meV per atom
Fermi-level density of states ... 12.44 states/eV/f.u.
Calculated volume ... 143.2 Å³ per cell

Cell lengths 3.1518, 3.1518, 16.6403 Å; angles 90.00, 90.00, 120.00 degrees
Last column: nearest neighbours and their distance in Å.
Atoms (fractional coordinates):
Pa (0.0000, 0.0000, 0.0000)  12 Pa 3.15-3.39
Pa (0.0000, 0.0000, 0.3451)  9 Pa 3.15-3.41, 3 Al 3.15
Pa (0.0000, 0.0000, 0.6549)  9 Pa 3.15-3.41, 3 Al 3.15
Pa (0.3333, 0.6667, 0.1717)  12 Pa 3.15-3.41
Pa (0.3333, 0.6667, 0.8283)  12 Pa 3.15-3.41
Al (0.3333, 0.6667, 0.5000)  6 Al 3.15, 6 Pa 3.15

***

# 8
The following is a PBE-GGA calculation of a relaxed structure of Pa2Al, from Alexandria.

Formation energy ... -0.10 eV/atom
Fermi-level density of states ... 5.17 states/eV/f.u.
Calculated volume ... 264.8 Å³ per cell

Cell lengths 3.0473, 17.0697, 5.0910 Å; angles 90.00, 90.00, 90.00 degrees
Last column: nearest neighbours and their distance in Å.
Atoms (fractional coordinates):
Pa (0.0000, 0.1191, 0.2500)  4 Pa 2.92-3.05, 6 Al 3.16-3.24
Pa (0.0000, 0.2030, 0.7500)  4 Pa 2.92-3.05, 2 Al 3.12
Pa (0.0000, 0.7970, 0.2500)  4 Pa 2.92-3.05, 2 Al 3.12
Pa (0.0000, 0.8809, 0.7500)  4 Pa 2.92-3.05, 6 Al 3.16-3.24
Pa (0.5000, 0.2970, 0.2500)  4 Pa 2.92-3.05, 2 Al 3.12
Pa (0.5000, 0.3809, 0.7500)  4 Pa 2.92-3.05, 6 Al 3.16-3.24
Pa (0.5000, 0.6191, 0.2500)  4 Pa 2.92-3.05, 6 Al 3.16-3.24
Pa (0.5000, 0.7030, 0.7500)  4 Pa 2.92-3.05, 2 Al 3.12
Al (0.0000, 0.4568, 0.2500)  4 Al 2.94-3.05, 8 Pa 3.12-3.24
Al (0.0000, 0.5432, 0.7500)  4 Al 2.94-3.05, 8 Pa 3.12-3.24
Al (0.5000, 0.0432, 0.7500)  4 Al 2.94-3.05, 8 Pa 3.12-3.24
Al (0.5000, 0.9568, 0.2500)  4 Al 2.94-3.05, 8 Pa 3.12-3.24

***

# 9
The following is a PBE-GGA calculation of a relaxed structure of Pa5Al, from Alexandria.

Formation energy ... -0.07 eV/atom
Energy relative to the lowest polymorph listed for this composition ... 0 meV per atom
Fermi-level density of states ... 11.20 states/eV/f.u.
Calculated volume ... 282.3 Å³ per cell

Cell lengths 4.4673, 13.8139, 4.5745 Å; angles 90.00, 90.00, 90.00 degrees
Last column: nearest neighbours and their distance in Å.
Atoms (fractional coordinates):
Pa (0.0000, 0.0000, 0.0000)  8 Pa 3.15-3.21, 4 Al 3.20
Pa (0.0000, 0.1634, 0.5000)  2 Al 3.18, 10 Pa 3.20-3.34
Pa (0.0000, 0.3397, 0.0000)  10 Pa 3.15-3.34, 2 Al 3.18
Pa (0.0000, 0.6603, 0.0000)  10 Pa 3.15-3.34, 2 Al 3.18
Pa (0.0000, 0.8366, 0.5000)  2 Al 3.18, 10 Pa 3.20-3.34
Pa (0.5000, 0.1603, 0.0000)  10 Pa 3.15-3.34, 2 Al 3.18
Pa (0.5000, 0.3366, 0.5000)  2 Al 3.18, 10 Pa 3.20-3.34
Pa (0.5000, 0.5000, 0.0000)  8 Pa 3.15-3.21, 4 Al 3.20
Pa (0.5000, 0.6634, 0.5000)  2 Al 3.18, 10 Pa 3.20-3.34
Pa (0.5000, 0.8397, 0.0000)  10 Pa 3.15-3.34, 2 Al 3.18
Al (0.0000, 0.5000, 0.5000)  12 Pa 3.18-3.20
Al (0.5000, 0.0000, 0.5000)  12 Pa 3.18-3.20

***

# 10
The following is a PBE-GGA calculation of a relaxed structure of Pa5Al, from Alexandria.

Formation energy ... -0.03 eV/atom
Energy relative to the lowest polymorph listed for this composition ... 38 meV per atom
Fermi-level density of states ... 11.81 states/eV/f.u.
Calculated volume ... 285.2 Å³ per cell

Cell lengths 5.4369, 16.3938, 3.2002 Å; angles 90.00, 90.00, 90.00 degrees
Last column: nearest neighbours and their distance in Å.
Atoms (fractional coordinates):
Pa (0.0000, 0.0000, 0.0000)  6 Pa 3.10-3.20, 4 Al 3.15
Pa (0.0000, 0.1617, 0.5000)  10 Pa 3.10-3.22
Pa (0.0000, 0.3323, 0.0000)  8 Pa 3.16-3.22, 2 Al 3.18
Pa (0.0000, 0.6677, 0.0000)  8 Pa 3.16-3.22, 2 Al 3.18
Pa (0.0000, 0.8383, 0.5000)  10 Pa 3.10-3.22
Pa (0.5000, 0.1677, 0.0000)  8 Pa 3.16-3.22, 2 Al 3.18
Pa (0.5000, 0.3383, 0.5000)  10 Pa 3.10-3.22
Pa (0.5000, 0.5000, 0.0000)  6 Pa 3.10-3.20, 4 Al 3.15
Pa (0.5000, 0.6617, 0.5000)  10 Pa 3.10-3.22
Pa (0.5000, 0.8323, 0.0000)  8 Pa 3.16-3.22, 2 Al 3.18
Al (0.0000, 0.5000, 0.5000)  8 Pa 3.15-3.18, 2 Al 3.20
Al (0.5000, 0.0000, 0.5000)  8 Pa 3.15-3.18, 2 Al 3.20